4
Lattice="-1.385 1.954 3.987 1.385 -1.954 3.987 1.385 1.954 -3.987" Properties=species:S:1:pos:R:3 comment="PBE Co2NiP, relaxed" magmom_total_mub_per_cell=2.25 formation_enthalpy_0k_ev_per_atom=-0.19 e_tot_ev_per_atom=-6.5386 volume_a3_per_cell=43 pbc="T T T"
Co 0.000 0.000 0.000
Co 0.000 1.954 1.743
Ni 1.385 0.000 2.265
P 0.000 0.000 4.001

=====

8
Lattice="8.312 0.000 0.000 0.000 4.776 0.000 -2.744 0.000 7.945" Properties=species:S:1:pos:R:3 comment="PBE RbNa2GaI4, relaxed" raw_formation_energy_ev_per_fu=-8.51 magmom_total_mub_per_cell=0.00 e_tot_ev_per_atom=-2.6685 volume_a3_per_cell=315 pbc="T T T"
Rb 0.000 0.000 0.000
Na -1.372 2.388 3.973
Na 2.784 0.000 3.973
Ga 4.156 2.388 0.000
I 0.130 0.000 5.828
I 1.510 2.388 2.196
I 4.058 2.388 5.749
I 5.438 0.000 2.118

=====

5
Lattice="6.588 0.000 0.000 0.000 6.588 0.000 0.000 0.000 5.023" Properties=species:S:1:pos:R:3 comment="PBE CsBa2ZnCr, relaxed" magmom_total_mub_per_cell=4.23 formation_enthalpy_0k_ev_per_atom=0.45 e_tot_ev_per_atom=-2.6664 volume_a3_per_cell=218 pbc="T T T"
Cs 0.000 0.000 0.000
Ba 0.000 3.294 2.512
Ba 3.294 0.000 2.512
Zn 3.294 3.294 2.512
Cr 3.294 3.294 0.000

=====

4
Lattice="0.000 3.395 3.395 3.395 0.000 3.395 3.395 3.395 0.000" Properties=species:S:1:pos:R:3 comment="PBE LiPmSnOs, relaxed" magmom_total_mub_per_cell=0.00 formation_enthalpy_0k_ev_per_atom=-0.18 e_tot_ev_per_atom=-5.6494 volume_a3_per_cell=78 pbc="T T T"
Li 0.000 0.000 0.000
Pm 1.698 1.698 1.698
Sn 5.093 5.093 5.093
Os 3.395 3.395 3.395

=====

30
Lattice="2.343 -11.513 0.000 2.343 11.513 0.000 0.000 0.000 17.588" Properties=species:S:1:pos:R:3 comment="PBE Ba4Tl5Au6, relaxed" magmom_total_mub_per_cell=0.00 formation_enthalpy_0k_ev_per_atom=-0.45 e_tot_ev_per_atom=-3.0668 volume_a3_per_cell=949 pbc="T T T"
Ba 2.343 11.283 8.794
Ba 2.343 10.667 13.343
Ba 2.343 7.803 5.173
Ba 2.343 7.276 16.461
Ba 2.343 -7.276 7.667
Ba 2.343 -7.803 13.967
Ba 2.343 -10.667 4.550
Ba 2.343 -11.283 0.000
Tl 2.343 7.917 10.875
Tl 2.343 4.519 10.661
Tl 2.343 3.785 4.694
Tl 2.343 3.259 16.986
Tl 2.343 1.237 11.619
Tl 2.343 -1.237 2.825
Tl 2.343 -3.259 8.192
Tl 2.343 -3.785 13.488
Tl 2.343 -4.519 1.867
Tl 2.343 -7.917 2.081
Au 2.343 8.860 1.916
Au 2.343 6.486 8.347
Au 2.343 6.023 13.204
Au 2.343 1.750 2.087
Au 2.343 1.643 6.933
Au 2.343 1.159 14.856
Au 2.343 -1.159 6.063
Au 2.343 -1.643 15.727
Au 2.343 -1.750 10.881
Au 2.343 -6.023 4.410
Au 2.343 -6.486 17.141
Au 2.343 -8.860 10.709

=====

5
Lattice="5.228 0.000 0.000 0.000 5.228 0.000 0.000 0.000 6.120" Properties=species:S:1:pos:R:3 comment="PBE RbBaW2Se, relaxed" raw_formation_energy_ev_per_fu=12.51 magmom_total_mub_per_cell=6.82 e_tot_ev_per_atom=-3.9539 volume_a3_per_cell=167 pbc="T T T"
Rb 0.000 0.000 0.000
Ba 2.614 2.614 3.060
W 0.000 2.614 0.000
W 2.614 0.000 0.000
Se 0.000 0.000 3.060

=====

4
Lattice="0.000 3.497 3.497 3.497 0.000 3.497 3.497 3.497 0.000" Properties=species:S:1:pos:R:3 comment="PBE SrZnSi2, relaxed" raw_formation_energy_ev_per_fu=0.95 magmom_total_mub_per_cell=0.00 e_tot_ev_per_atom=-3.2119 volume_a3_per_cell=86 pbc="T T T"
Sr 0.000 0.000 0.000
Zn 5.245 5.245 5.245
Si 1.748 1.748 1.748
Si 3.497 3.497 3.497

=====

3
Lattice="-2.137 2.137 5.723 2.137 -2.137 5.723 2.137 2.137 -5.723" Properties=species:S:1:pos:R:3 comment="PBE SnHgCl, relaxed" raw_formation_energy_ev_per_fu=-1.14 magmom_total_mub_per_cell=0.00 e_tot_ev_per_atom=-2.4297 volume_a3_per_cell=105 polymorph_energy_ev_per_fu=0.00 pbc="T T T"
Sn 0.000 0.000 0.000
Hg 0.000 0.000 5.827
Cl 0.000 0.000 8.980